This record from Alexandria via LeMat-Bulk describes a relaxed ZrTiCrO6 crystal. The functional is GGA+U.

Properties
Total moment: 2.00 μB per formula unit
E: -0.314 Ha/atom
ρ: 4.69 g cm⁻³

Cell: 4.690 4.690 9.248 Å, 90.00 90.00 90.00°
Space group P4_2nm (No. 102)
Inequivalent atoms, fractional coordinates:
Zr: 0.000 0.000 0.000 (multiplicity 2)
Ti: 0.000 0.000 0.662 (multiplicity 2)
Cr: 0.000 0.000 0.331 (multiplicity 2)
O: 0.184 0.184 0.496 (multiplicity 4)
O: 0.203 0.203 0.175 (multiplicity 4)
O: 0.207 0.207 0.822 (multiplicity 4)